A plane-wave DFT calculation with meta-GGA SCAN was carried out for a crystal of IrPt2Se relaxed with PBEsol.

The structure in CIF format:
```
data_IrPt2Se
_cell_length_a 3.739
_cell_length_b 3.739
_cell_length_c 18.543
_cell_angle_alpha 90.00
_cell_angle_beta 90.00
_cell_angle_gamma 90.00
_space_group_name_H-M_alt 'I -4 2 d'
_space_group_IT_number 122
_space_group_name_Hall 'I -4 2bw'
loop_
_atom_site_label
_atom_site_fract_x
_atom_site_fract_y
_atom_site_fract_z
Ir1 0.000 0.000 0.000
Pt1 0.242 0.250 0.125
Se1 0.000 0.000 0.500
```

Computed properties:
The formation energy from raw total energies is 307.9 meV/atom. The density of states at the Fermi level is 2.3 states/eV/f.u. The calculation puts the density at 16.95 g cm⁻³.


A plane-wave DFT calculation with meta-GGA SCAN was carried out for a crystal of Ir2PtSe relaxed with PBEsol.

The structure in CIF format:
```
data_Ir2PtSe
_cell_length_a 2.720
_cell_length_b 4.808
_cell_length_c 9.274
_cell_angle_alpha 90.00
_cell_angle_beta 90.00
_cell_angle_gamma 90.00
_space_group_name_H-M_alt 'C m m m'
_space_group_IT_number 65
_space_group_name_Hall '-C 2 2'
loop_
_atom_site_label
_atom_site_fract_x
_atom_site_fract_y
_atom_site_fract_z
Ir1 0.000 0.000 0.249
Pt1 0.000 0.500 0.500
Se1 0.000 0.500 0.000
```

Computed properties:
The formation energy from raw total energies is 519.3 meV/atom. The density of states at the Fermi level is 3.3 states/eV/f.u. The calculation puts the density at 18.03 g cm⁻³.


A plane-wave DFT calculation with meta-GGA SCAN was carried out for a crystal of IrPtSe relaxed with PBEsol.

The structure in CIF format:
```
data_IrPtSe
_cell_length_a 2.763
_cell_length_b 4.850
_cell_length_c 14.074
_cell_angle_alpha 90.00
_cell_angle_beta 90.00
_cell_angle_gamma 90.00
_space_group_name_H-M_alt 'F m m 2'
_space_group_IT_number 42
_space_group_name_Hall 'F 2 -2'
loop_
_atom_site_label
_atom_site_fract_x
_atom_site_fract_y
_atom_site_fract_z
Ir1 0.000 0.000 0.000
Pt1 0.000 0.000 0.334
Se1 0.000 0.000 0.651
```

Computed properties:
The formation energy from raw total energies is 489.2 meV/atom. The density of states at the Fermi level is 2.0 states/eV/f.u. The calculation puts the density at 16.42 g cm⁻³.


A plane-wave DFT calculation with meta-GGA SCAN was carried out for a crystal of Ir2PtSe relaxed with PBEsol.

The structure in CIF format:
```
data_Ir2PtSe
_cell_length_a 4.650
_cell_length_b 4.650
_cell_length_c 2.789
_cell_angle_alpha 90.00
_cell_angle_beta 90.00
_cell_angle_gamma 90.00
_space_group_name_H-M_alt 'P 4/m m m'
_space_group_IT_number 123
_space_group_name_Hall '-P 4 2'
loop_
_atom_site_label
_atom_site_fract_x
_atom_site_fract_y
_atom_site_fract_z
Ir1 0.000 0.500 0.000
Pt1 0.000 0.000 0.500
Se1 0.500 0.500 0.500
```

Computed properties:
The formation energy from raw total energies is 519.6 meV/atom. The density of states at the Fermi level is 3.3 states/eV/f.u. The calculation puts the density at 18.13 g cm⁻³.


A plane-wave DFT calculation with meta-GGA SCAN was carried out for a crystal of SiIrPt2 relaxed with PBEsol.

The structure in CIF format:
```
data_SiIrPt2
_cell_length_a 10.290
_cell_length_b 2.815
_cell_length_c 4.362
_cell_angle_alpha 90.00
_cell_angle_beta 114.96
_cell_angle_gamma 90.00
_space_group_name_H-M_alt 'C 1 m 1'
_space_group_IT_number 8
_space_group_name_Hall 'C -2y'
loop_
_atom_site_label
_atom_site_fract_x
_atom_site_fract_y
_atom_site_fract_z
Si1 0.000 0.000 0.000
Ir1 0.297 0.000 0.796
Pt1 0.004 0.500 0.504
Pt2 0.209 0.500 0.208
```

Computed properties:
The formation energy from raw total energies is -339.6 meV/atom. The density of states at the Fermi level is 3.1 states/eV/f.u. The calculation puts the density at 17.70 g cm⁻³.


A plane-wave DFT calculation with meta-GGA SCAN was carried out for a crystal of SiIrPt2 relaxed with PBEsol.

The structure in CIF format:
```
data_SiIrPt2
_cell_length_a 3.776
_cell_length_b 3.776
_cell_length_c 3.941
_cell_angle_alpha 90.00
_cell_angle_beta 90.00
_cell_angle_gamma 90.00
_space_group_name_H-M_alt 'P 4/m m m'
_space_group_IT_number 123
_space_group_name_Hall '-P 4 2'
loop_
_atom_site_label
_atom_site_fract_x
_atom_site_fract_y
_atom_site_fract_z
Si1 0.000 0.000 0.000
Ir1 0.500 0.500 0.000
Pt1 0.000 0.500 0.500
```

Computed properties:
The formation energy from raw total energies is -332.5 meV/atom. The density of states at the Fermi level is 1.6 states/eV/f.u. The calculation puts the density at 18.04 g cm⁻³.


A plane-wave DFT calculation with meta-GGA SCAN was carried out for a crystal of SiIr2Pt relaxed with PBEsol.

The structure in CIF format:
```
data_SiIr2Pt
_cell_length_a 2.774
_cell_length_b 2.774
_cell_length_c 7.174
_cell_angle_alpha 90.00
_cell_angle_beta 90.00
_cell_angle_gamma 90.00
_space_group_name_H-M_alt 'P 4 m m'
_space_group_IT_number 99
_space_group_name_Hall 'P 4 -2'
loop_
_atom_site_label
_atom_site_fract_x
_atom_site_fract_y
_atom_site_fract_z
Si1 0.000 0.000 0.000
Ir1 0.000 0.000 0.487
Ir2 0.500 0.500 0.217
Pt1 0.500 0.500 0.772
```

Computed properties:
The formation energy from raw total energies is -164.3 meV/atom. The density of states at the Fermi level is 3.8 states/eV/f.u. The calculation puts the density at 18.27 g cm⁻³.


A plane-wave DFT calculation with meta-GGA SCAN was carried out for a crystal of Si2IrPt relaxed with PBEsol.

The structure in CIF format:
```
data_Si2IrPt
_cell_length_a 7.817
_cell_length_b 2.911
_cell_length_c 4.942
_cell_angle_alpha 90.00
_cell_angle_beta 101.78
_cell_angle_gamma 90.00
_space_group_name_H-M_alt 'C 1 2/m 1'
_space_group_IT_number 12
_space_group_name_Hall '-C 2y'
loop_
_atom_site_label
_atom_site_fract_x
_atom_site_fract_y
_atom_site_fract_z
Si1 0.247 0.000 0.237
Ir1 0.000 0.500 0.000
Pt1 0.000 0.000 0.500
```

Computed properties:
The formation energy from raw total energies is -448.9 meV/atom. The density of states at the Fermi level is 1.9 states/eV/f.u. The calculation puts the density at 13.38 g cm⁻³.